VASP calculation (GGA-PBE) on crystalline Cs2PrCuBr6 at its relaxed geometry.

Values from the calculation:
Electronic total energy   -3.58 eV per atom
E above lowest polymorph   0.0 meV/atom
Crystal system   trigonal
Volume   37.30 A^3/atom

Cell: 8.022 8.022 6.692 Å, 90.00 90.00 120.00°
Element x y z (fractional)
Cs 0.333 0.667 0.264
Cs 0.667 0.333 0.736
Pr 0.000 0.000 0.000
Cu 0.000 0.000 0.500
Br 0.165 0.330 0.733
Br 0.165 0.835 0.733
Br 0.330 0.165 0.267
Br 0.670 0.835 0.733
Br 0.835 0.165 0.267
Br 0.835 0.670 0.267

---

VASP calculation (GGA-PBE) on crystalline Cs2PrCu2Br6 at its relaxed geometry.

Values from the calculation:
Electronic total energy   -3.45 eV per atom
Crystal system   monoclinic
Volume   37.66 A^3/atom

Cell: 7.969 7.969 8.993 Å, 118.17 118.17 59.88°
Element x y z (fractional)
Cs 0.214 0.214 0.201
Cs 0.786 0.786 0.799
Pr 0.000 0.000 0.500
Cu 0.464 0.464 0.844
Cu 0.536 0.536 0.156
Br 0.204 0.705 0.228
Br 0.246 0.246 0.635
Br 0.295 0.796 0.772
Br 0.705 0.204 0.228
Br 0.754 0.754 0.365
Br 0.796 0.295 0.772

---

VASP calculation (GGA-PBE) on crystalline Cs2PrCuBr6 at its relaxed geometry.

Values from the calculation:
Electronic total energy   -3.57 eV per atom
E above lowest polymorph   15.2 meV/atom
Crystal system   cubic
Volume   35.77 A^3/atom

Cell: 7.968 7.968 7.968 Å, 60.00 60.00 60.00°
Element x y z (fractional)
Cs 0.250 0.250 0.250
Cs 0.750 0.750 0.750
Pr 0.000 0.000 0.000
Cu 0.500 0.500 0.500
Br 0.259 0.259 0.741
Br 0.259 0.741 0.259
Br 0.259 0.741 0.741
Br 0.741 0.259 0.259
Br 0.741 0.259 0.741
Br 0.741 0.741 0.259

---

VASP calculation (GGA-PBE) on crystalline CsCu2PtBr8 at its relaxed geometry.

Values from the calculation:
Electronic total energy   -2.83 eV per atom
Crystal system   trigonal
Volume   38.33 A^3/atom

Cell: 10.273 10.273 10.273 Å, 43.16 43.16 43.16°
Element x y z (fractional)
Cs 0.000 0.000 0.000
Cu 0.232 0.232 0.232
Cu 0.768 0.768 0.768
Pt 0.500 0.500 0.500
Br 0.141 0.593 0.593
Br 0.316 0.316 0.316
Br 0.407 0.407 0.859
Br 0.407 0.859 0.407
Br 0.593 0.141 0.593
Br 0.593 0.593 0.141
Br 0.684 0.684 0.684
Br 0.859 0.407 0.407

---

VASP calculation (GGA-PBE) on crystalline Cs2CuPtBr6 at its relaxed geometry.

Values from the calculation:
Electronic total energy   -3.06 eV per atom
Crystal system   tetragonal
Volume   31.20 A^3/atom

Cell: 7.745 7.745 7.745 Å, 123.05 123.05 84.80°
Element x y z (fractional)
Cs 0.250 0.750 0.500
Cs 0.750 0.250 0.500
Cu 0.000 0.000 0.000
Pt 0.500 0.500 0.000
Br 0.242 0.242 0.485
Br 0.242 0.758 0.000
Br 0.281 0.281 0.000
Br 0.719 0.719 0.000
Br 0.758 0.242 0.000
Br 0.758 0.758 0.515

---

VASP calculation (GGA-PBE) on crystalline CsPuCu2Br6 at its relaxed geometry.

Values from the calculation:
Electronic total energy   -4.41 eV per atom
Crystal system   trigonal
Volume   39.86 A^3/atom

Cell: 9.519 9.519 9.519 Å, 45.42 45.42 45.42°
Element x y z (fractional)
Cs 0.000 0.000 0.000
Pu 0.500 0.500 0.500
Cu 0.229 0.229 0.229
Cu 0.771 0.771 0.771
Br 0.103 0.727 0.462
Br 0.273 0.538 0.897
Br 0.462 0.103 0.727
Br 0.538 0.897 0.273
Br 0.727 0.462 0.103
Br 0.897 0.273 0.538

---

| no. | M_tot (μB/atom) |
| --- | --- |
| 1 | 0.01 |
| 2 | 0.07 |
| 3 | 0.00 |
| 4 | 0.05 |
| 5 | 0.00 |
| 6 | 0.50 |